Record 1
First-principles (PBE) data for a relaxed MgTa2Tc crystal, as listed in Alexandria via LeMat-Bulk.

Calculated values
ΔE_f ... 0.057 eV per atom
Raw total energy ... -8.859 eV/atom
V ... 70.6 Å³/cell
D(E_F) ... 2.82 states/eV/f.u.
Total magnetic moment ... 0.0000 μB/atom

```
MgTa2Tc
1.0
-2.8224 -0.1614 0.4157
1.4491 -1.2446 2.1251
0.2133 8.0799 4.5866
Tc Ta Mg
1 2 1
Direct
0.0000 0.0000 0.4886
0.0000 0.0000 0.0116
0.5000 0.5000 0.2655
0.5000 0.5000 0.7343
```

***

Record 2
First-principles (PBE) data for a relaxed MgTa2Tc crystal, as listed in Alexandria via LeMat-Bulk.

Calculated values
ΔE_f ... 0.199 eV per atom
Raw total energy ... -8.717 eV/atom
V ... 72.0 Å³/cell
D(E_F) ... 2.90 states/eV/f.u.
Total magnetic moment ... 0.0000 μB/atom

```
MgTa2Tc
1.0
9.5763 0.0894 0.0526
9.0885 3.0187 0.0526
9.0885 1.5135 2.6124
Ta Tc Mg
2 1 1
Direct
0.5079 0.5079 0.5079
0.9921 0.9921 0.9921
0.2500 0.2500 0.2500
0.7500 0.7500 0.7500
```

***

Record 3
First-principles (PBE) data for a relaxed MgTa2Tc crystal, as listed in Alexandria via LeMat-Bulk.

Calculated values
ΔE_f ... 0.125 eV per atom
Raw total energy ... -8.791 eV/atom
V ... 68.6 Å³/cell
D(E_F) ... 2.52 states/eV/f.u.
Total magnetic moment ... 0.0000 μB/atom

```
MgTa2Tc
1.0
-2.2258 4.2324 -2.5282
3.0975 -3.3454 -3.0071
-1.9560 -1.3170 -1.4151
Ta Tc Mg
2 1 1
Direct
0.5000 0.0000 0.5000
0.0000 0.0000 0.0000
0.0000 0.5000 0.5000
0.5000 0.5000 0.0000
```

***

- Which value of V does entry 2 give?
  72.0 Å³/cell